No. 1
4
Lattice="-2.270 4.203 0.888 -0.971 -1.083 2.643 4.421 1.712 3.198" Properties=species:S:1:pos:R:3 comment="ZrCd2Au | Alexandria via LeMat-Bulk | GGA-PBE | optimized geometry" delta_e_f_ev_per_fu=-0.6 e_tot_ev_per_atom=-3.559 pbc="T T T"
Au 1.453 2.574 4.825
Zr -0.272 2.259 1.904
Cd 1.603 0.169 3.300
Cd 3.572 0.776 5.462

***

No. 2
5
Lattice="5.393 0.000 0.000 0.000 5.393 0.000 0.000 0.000 5.393" Properties=species:S:1:pos:R:3 comment="CsKV3 | Alexandria via LeMat-Bulk | GGA-PBE | optimized geometry" delta_e_f_ev_per_fu=12.5 e_tot_ev_per_atom=-3.357 polymorph_energy_mev_per_atom=0 pbc="T T T"
V 0.000 2.696 0.000
V 0.000 0.000 2.696
V 2.696 0.000 0.000
K 0.000 0.000 0.000
Cs 2.696 2.696 2.696